# 1
Compound: Y2AlTe2
Source: the Alexandria database
Functional: PBE
Structure: optimized geometry

Unit cell a=8.250 b=8.250 c=4.106 alpha=90.00 beta=90.00 gamma=90.00
Positions (direct):
Y (0.157, 0.343, 0.000)
Y (0.343, 0.843, 0.000)
Y (0.657, 0.157, 0.000)
Y (0.843, 0.657, 0.000)
Al (0.000, 0.000, 0.000)
Al (0.500, 0.500, 0.000)
Te (0.148, 0.648, 0.500)
Te (0.352, 0.148, 0.500)
Te (0.648, 0.852, 0.500)
Te (0.852, 0.352, 0.500)

Properties
Total energy, eV/atom: -5.37
Raw formation energy, eV/atom: -0.78
Distance to the lowest polymorph of the same formula, meV/atom: 0

---

# 2
Compound: Y2Ir3
Source: the Alexandria database
Functional: PBE
Structure: optimized geometry

Unit cell a=6.479 b=6.479 c=6.479 alpha=40.22 beta=40.22 gamma=40.22
Positions (direct):
Y (0.096, 0.096, 0.096)
Y (0.904, 0.904, 0.904)
Ir (0.340, 0.340, 0.340)
Ir (0.500, 0.500, 0.500)
Ir (0.660, 0.660, 0.660)

Properties
ΔH_f (0 K), meV/atom: -566
Total energy, eV/atom: -8.47
Distance to the lowest polymorph of the same formula, meV/atom: 136

---

# 3
Compound: Nd6Al7
Source: the Alexandria database
Functional: PBE
Structure: optimized geometry

Unit cell a=11.266 b=11.266 c=11.266 alpha=29.86 beta=29.86 gamma=29.86
Positions (direct):
Nd (0.052, 0.052, 0.052)
Nd (0.148, 0.148, 0.148)
Nd (0.335, 0.335, 0.335)
Nd (0.665, 0.665, 0.665)
Nd (0.852, 0.852, 0.852)
Nd (0.948, 0.948, 0.948)
Al (0.090, 0.599, 0.599)
Al (0.401, 0.401, 0.910)
Al (0.401, 0.910, 0.401)
Al (0.500, 0.500, 0.500)
Al (0.599, 0.090, 0.599)
Al (0.599, 0.599, 0.090)
Al (0.910, 0.401, 0.401)

Properties
ΔH_f (0 K), meV/atom: -372
Total energy, eV/atom: -4.59

---

# 4
Compound: Sc2TcB2
Source: the Alexandria database
Functional: PBE
Structure: optimized geometry

Unit cell a=6.166 b=6.166 c=3.450 alpha=90.00 beta=90.00 gamma=90.00
Positions (direct):
Sc (0.189, 0.311, 0.000)
Sc (0.311, 0.811, 0.000)
Sc (0.689, 0.189, 0.000)
Sc (0.811, 0.689, 0.000)
Tc (0.000, 0.000, 0.500)
Tc (0.500, 0.500, 0.500)
B (0.099, 0.599, 0.500)
B (0.401, 0.099, 0.500)
B (0.599, 0.901, 0.500)
B (0.901, 0.401, 0.500)

Properties
ΔH_f (0 K), meV/atom: -439
Total energy, eV/atom: -7.72

---

- Which of these has the highest total energy?
  Nd6Al7

---

- What is the total energy in the first record?
  -5.37 eV/atom